The following is a PBE calculation of a geometry-optimized CsTmIn2I6 structure, from Alexandria.

As for the theoretical density: 4.251 g cm⁻³. As for the total energy: -30.500 eV per formula unit. As for the magnetization: 0.00 μB per atom.

Cell lengths 8.668, 8.675, 9.226 Å; angles 90.02, 118.02, 119.95 degrees
Element x y z (fractional)
1 Cs 0.000 0.000 0.000
2 Tm 0.974 0.487 0.460
3 In 0.594 0.297 0.891
4 In 0.624 0.812 0.436
5 I 0.105 0.445 0.217
6 I 0.113 0.267 0.672
7 I 0.405 0.846 0.672
8 I 0.557 0.113 0.217
9 I 0.772 0.660 0.216
10 I 0.827 0.560 0.672

---

The following is a PBE calculation of a geometry-optimized CsUInI6 structure, from Alexandria.

As for the theoretical density: 4.043 g cm⁻³. As for the total energy: -32.549 eV per formula unit. As for the magnetization: 0.22 μB per atom.

Cell lengths 8.596, 8.596, 16.008 Å; angles 90.00, 90.00, 120.00 degrees
Element x y z (fractional)
1 Cs 0.000 0.000 0.000
2 Cs 0.000 0.000 0.500
3 U 0.333 0.667 0.250
4 U 0.667 0.333 0.750
5 In 0.333 0.667 0.750
6 In 0.667 0.333 0.250
7 I 0.036 0.390 0.141
8 I 0.036 0.647 0.359
9 I 0.353 0.390 0.359
10 I 0.353 0.964 0.141
11 I 0.390 0.036 0.641
12 I 0.390 0.353 0.859
13 I 0.610 0.647 0.141
14 I 0.610 0.964 0.359
15 I 0.647 0.036 0.859
16 I 0.647 0.610 0.641
17 I 0.964 0.353 0.641
18 I 0.964 0.610 0.859

---

Q: Which of these has the highest theoretical density?
A: CsTmIn2I6

---

Q: Which value of magnetization does entry 1 give?
A: 0.00 μB per atom